# SmErAlRh PBE-GGA relaxed
data_SmErAlRh
_chemical_formula_sum 'Sm4 Er4 Al4 Rh4'
_cell_length_a 7.104
_cell_length_b 7.104
_cell_length_c 7.104
_cell_angle_alpha 90.00
_cell_angle_beta 90.00
_cell_angle_gamma 90.00
_space_group_name_H-M_alt 'F -4 3 m'
_space_group_IT_number 216
_space_group_name_Hall 'F -4 2 3'
loop_
_atom_site_label
_atom_site_fract_x
_atom_site_fract_y
_atom_site_fract_z
_atom_site_occupancy
Sm1 0.000 0.000 0.000 1
Er1 0.000 0.000 0.500 1
Al1 0.250 0.250 0.250 1
Rh1 0.250 0.250 0.750 1
# Energy of formation = -2.1 eV/f.u.
# Crystal system = cubic
# DOS(E_F) = 14.41 states/eV/cell
# Volume = 358.48 Å³ per cell
# Magnetic moment = 0.000 μB per atom
# Theoretical density = 8.29 g cm⁻³